1.
DFT (PBE) results for an optimized crystal structure of NbReCl2. Values from VASP.

Calculated values
The calculation puts the mass density at 9.51 Mg/m³. Its relative energy among the computed polymorphs is 819 meV per atom. The space group is Fm-3m (225). For the uncorrected formation energy, the calculation gives 100 kJ per mole of atoms.

```
&SYSTEM
  ibrav = 0, nat = 4, ntyp = 3
/
ATOMIC_SPECIES
Cl 35.45 Cl.upf
Nb 92.91 Nb.upf
Re 186.21 Re.upf
CELL_PARAMETERS angstrom
2.516 -0.806 3.545
2.999 2.976 1.305
-0.636 2.290 3.729
ATOMIC_POSITIONS angstrom
Cl 1.220 1.115 2.145
Cl 3.660 3.345 6.435
Nb 0.000 0.000 0.000
Re 2.440 2.230 4.290
```

2.
DFT (PBE) results for an optimized crystal structure of Nb2ReCl. Values from VASP.

Calculated values
The calculation puts the mass density at 9.42 Mg/m³. Its relative energy among the computed polymorphs is 98 meV per atom. The space group is I-42d (122). For the uncorrected formation energy, the calculation gives 63 kJ per mole of atoms.

```
&SYSTEM
  ibrav = 0, nat = 8, ntyp = 3
/
ATOMIC_SPECIES
Nb 92.91 Nb.upf
Cl 35.45 Cl.upf
Re 186.21 Re.upf
CELL_PARAMETERS angstrom
-2.850 -4.490 4.279
3.274 -5.088 -3.158
2.593 -4.458 2.494
ATOMIC_POSITIONS angstrom
Nb -0.659 -4.454 2.805
Nb 2.178 -7.051 2.218
Nb 2.240 -11.608 2.923
Nb 2.273 -4.959 -0.718
Cl 3.039 -7.168 -0.052
Cl 0.212 -4.789 0.560
Re 0.000 0.000 0.000
Re -0.023 -6.868 3.666
```

3.
DFT (PBE) results for an optimized crystal structure of NbRe2Cl. Values from VASP.

Calculated values
The calculation puts the mass density at 12.71 Mg/m³. Its relative energy among the computed polymorphs is 8 meV per atom. The space group is Fm-3m (225). For the uncorrected formation energy, the calculation gives 107 kJ per mole of atoms.

```
&SYSTEM
  ibrav = 0, nat = 4, ntyp = 3
/
ATOMIC_SPECIES
Cl 35.45 Cl.upf
Re 186.21 Re.upf
Nb 92.91 Nb.upf
CELL_PARAMETERS angstrom
3.272 -0.616 3.061
-0.396 1.805 4.128
-0.723 -2.672 3.577
ATOMIC_POSITIONS angstrom
Cl 0.000 0.000 0.000
Re 0.538 -0.371 2.691
Re 1.615 -1.112 8.074
Nb 1.076 -0.741 5.382
```

4.
DFT (PBE) results for an optimized crystal structure of NbReCl2. Values from VASP.

Calculated values
The calculation puts the mass density at 7.34 Mg/m³. Its relative energy among the computed polymorphs is 863 meV per atom. The space group is I-42d (122). For the uncorrected formation energy, the calculation gives 105 kJ per mole of atoms.

```
&SYSTEM
  ibrav = 0, nat = 8, ntyp = 3
/
ATOMIC_SPECIES
Re 186.21 Re.upf
Cl 35.45 Cl.upf
Nb 92.91 Nb.upf
CELL_PARAMETERS angstrom
5.567 0.000 0.000
0.000 5.567 0.000
2.783 2.783 5.109
ATOMIC_POSITIONS angstrom
Re 0.000 0.000 0.000
Re 5.567 2.783 2.555
Cl 4.278 1.392 1.277
Cl 1.289 4.175 1.277
Cl 4.175 4.072 3.832
Cl 6.958 7.061 3.832
Nb 2.783 2.783 0.000
Nb 2.783 5.567 2.555
```

5.
DFT (PBE) results for an optimized crystal structure of NbRe3Cl. Values from VASP.

Calculated values
The calculation puts the mass density at 9.79 Mg/m³. Its relative energy among the computed polymorphs is 1291 meV per atom. The space group is Pm-3m (221). For the uncorrected formation energy, the calculation gives 261 kJ per mole of atoms.

```
&SYSTEM
  ibrav = 0, nat = 5, ntyp = 3
/
ATOMIC_SPECIES
Re 186.21 Re.upf
Nb 92.91 Nb.upf
Cl 35.45 Cl.upf
CELL_PARAMETERS angstrom
4.884 0.000 0.000
0.000 4.884 0.000
0.000 0.000 4.884
ATOMIC_POSITIONS angstrom
Re 0.000 0.000 2.442
Re 2.442 0.000 0.000
Re 0.000 2.442 0.000
Nb 0.000 0.000 0.000
Cl 2.442 2.442 2.442
```

6.
DFT (PBE) results for an optimized crystal structure of Nb3ReCl. Values from VASP.

Calculated values
The calculation puts the mass density at 9.13 Mg/m³. Its relative energy among the computed polymorphs is 0 meV per atom. The space group is Pm-3m (221). For the uncorrected formation energy, the calculation gives 88 kJ per mole of atoms.

```
&SYSTEM
  ibrav = 0, nat = 5, ntyp = 3
/
ATOMIC_SPECIES
Nb 92.91 Nb.upf
Cl 35.45 Cl.upf
Re 186.21 Re.upf
CELL_PARAMETERS angstrom
4.497 0.000 0.000
0.000 4.497 0.000
0.000 0.000 4.497
ATOMIC_POSITIONS angstrom
Nb 2.249 0.000 0.000
Nb 0.000 2.249 0.000
Nb 0.000 0.000 2.249
Cl 0.000 0.000 0.000
Re 2.249 2.249 2.249
```

7.
DFT (PBE) results for an optimized crystal structure of NbRe2Cl. Values from VASP.

Calculated values
The calculation puts the mass density at 12.72 Mg/m³. Its relative energy among the computed polymorphs is 0 meV per atom. The space group is I-42d (122). For the uncorrected formation energy, the calculation gives 106 kJ per mole of atoms.

```
&SYSTEM
  ibrav = 0, nat = 8, ntyp = 3
/
ATOMIC_SPECIES
Nb 92.91 Nb.upf
Re 186.21 Re.upf
Cl 35.45 Cl.upf
CELL_PARAMETERS angstrom
7.089 0.000 0.000
0.000 7.089 0.000
3.545 3.545 2.603
ATOMIC_POSITIONS angstrom
Nb 0.000 0.000 0.000
Nb 7.089 3.545 1.301
Re 2.238 5.317 0.651
Re 5.317 5.783 1.952
Re 4.851 1.772 0.651
Re 8.862 8.396 1.952
Cl 3.545 7.089 1.301
Cl 3.545 3.545 0.000
```

8.
DFT (PBE) results for an optimized crystal structure of Nb3ReCl. Values from VASP.

Calculated values
The calculation puts the mass density at 6.92 Mg/m³. Its relative energy among the computed polymorphs is 365 meV per atom. The space group is Pm-3m (221). For the uncorrected formation energy, the calculation gives 123 kJ per mole of atoms.

```
&SYSTEM
  ibrav = 0, nat = 5, ntyp = 3
/
ATOMIC_SPECIES
Nb 92.91 Nb.upf
Cl 35.45 Cl.upf
Re 186.21 Re.upf
CELL_PARAMETERS angstrom
4.932 0.000 0.000
0.000 4.932 0.000
0.000 0.000 4.932
ATOMIC_POSITIONS angstrom
Nb 0.000 0.000 2.466
Nb 2.466 0.000 0.000
Nb 0.000 2.466 0.000
Cl 2.466 2.466 2.466
Re 0.000 0.000 0.000
```

Asked for volume across the records above, the calculation gives 61.1; 143.7; 65.4; 158.3; 116.5; 91.0; 130.8; 120.0 Å³ per cell in order.
Asked for E across the records above, the calculation gives -5.514; -7.953; -8.098; -5.469; -7.144; -7.993; -8.106; -7.628 eV/atom in order.